No. 1
First-principles (PBE) data for a relaxed In2Ga2Cl crystal, as listed in the Alexandria database.

Values from the calculation:
final energy	-2.817	eV per atom
magnetization	0.00	μB/f.u.
DOS at the Fermi energy	0.426	states/eV/atom
formation energy (no corrections)	-0.1411	eV/atom

Lattice parameters (Å, degrees): 8.3608 8.3608 3.4992 90.00 90.00 90.00
With the nearest neighbours (Å) after each atom.
Positions (direct):
In  0.1906  0.3094  0.0000  6 Ga 2.92-3.14
In  0.3094  0.8094  0.0000  6 Ga 2.92-3.14
In  0.6906  0.1906  0.0000  6 Ga 2.92-3.14
In  0.8094  0.6906  0.0000  6 Ga 2.92-3.14
Ga  0.1119  0.6119  0.5000  1 Ga 2.65, 2 In 2.92
Ga  0.3881  0.1119  0.5000  1 Ga 2.65, 2 In 2.92
Ga  0.6119  0.8881  0.5000  1 Ga 2.65, 2 In 2.92
Ga  0.8881  0.3881  0.5000  1 Ga 2.65, 2 In 2.92
Cl  0.0000  0.0000  0.5000  4 Ga 3.38, 2 Cl 3.50, 8 In 3.51
Cl  0.5000  0.5000  0.5000  4 Ga 3.38, 2 Cl 3.50, 8 In 3.51



No. 2
First-principles (PBE) data for a relaxed Pm2Y3Rh2 crystal, as listed in the Alexandria database.

Values from the calculation:
energy of formation from the pure elements	-3.8	eV per formula unit
final energy	-6.767	eV per atom
magnetization	0.00	μB/f.u.
DOS at the Fermi energy	1.152	states/eV/atom

Lattice parameters (Å, degrees): 6.4366 6.4366 9.1013 114.92 114.92 34.15
With the nearest neighbours (Å) after each atom.
Positions (direct):
Pm  0.1667  0.1667  0.3074  2 Rh 2.88
Pm  0.8333  0.8333  0.6926  2 Rh 2.88
Y  0.3836  0.3836  0.0713  3 Rh 2.84-2.97
Y  0.5000  0.5000  0.5000  4 Rh 2.98
Y  0.6164  0.6164  0.9287  3 Rh 2.84-2.97
Rh  0.1752  0.1752  0.7415  5 Y 2.84-2.98, 2 Pm 2.88
Rh  0.8248  0.8248  0.2585  5 Y 2.84-2.98, 2 Pm 2.88



No. 3
First-principles (PBE) data for a relaxed Ca2Hg3 crystal, as listed in the Alexandria database.

Values from the calculation:
energy of formation from the pure elements	-2.1	eV per formula unit
final energy	-1.409	eV per atom
magnetization	0.00	μB/f.u.
DOS at the Fermi energy	0.531	states/eV/atom

Lattice parameters (Å, degrees): 7.1901 7.1901 7.1901 40.46 40.46 40.46
With the nearest neighbours (Å) after each atom.
Positions (direct):
Ca  0.0912  0.0912  0.0912  9 Hg 3.24-3.46, 1 Ca 3.61
Ca  0.9088  0.9088  0.9088  9 Hg 3.24-3.46, 1 Ca 3.61
Hg  0.3267  0.3267  0.3267  3 Hg 2.88
Hg  0.5000  0.5000  0.5000  6 Ca 3.24, 2 Hg 3.43
Hg  0.6733  0.6733  0.6733  3 Hg 2.88



No. 4
First-principles (PBE) data for a relaxed Nd12Ga3O5 crystal, as listed in the Alexandria database.

Values from the calculation:
final energy	-6.074	eV per atom
magnetization	0.00	μB/f.u.
DOS at the Fermi energy	0.918	states/eV/atom
formation energy (no corrections)	-1.5195	eV/atom

Lattice parameters (Å, degrees): 13.7907 13.7907 13.7907 109.47 109.47 109.47
With the nearest neighbours (Å) after each atom.
Positions (direct):
Nd  0.0167  0.2020  0.1125  1 O 2.30
Nd  0.0167  0.3147  0.9042  1 O 2.30
Nd  0.0895  0.7020  0.6853  1 O 2.30
Nd  0.0895  0.8875  0.4042  1 O 2.30
Nd  0.0958  0.6125  0.4105  1 O 2.30
Nd  0.0958  0.9833  0.6853  1 O 2.30
Nd  0.1125  0.0167  0.2020  1 O 2.30
Nd  0.1125  0.5958  0.9105  1 O 2.30
Nd  0.1853  0.2020  0.5895  1 O 2.30
Nd  0.1853  0.4833  0.5958  1 O 2.30
Nd  0.2020  0.1125  0.0167  1 O 2.30
Nd  0.2020  0.5895  0.1853  1 O 2.30
Nd  0.2980  0.3147  0.9105  1 O 2.30
Nd  0.2980  0.4833  0.3875  1 O 2.30
Nd  0.3147  0.9042  0.0167  1 O 2.30
Nd  0.3147  0.9105  0.2980  1 O 2.30
Nd  0.3875  0.2980  0.4833  1 O 2.30
Nd  0.3875  0.5895  0.9042  1 O 2.30
Nd  0.4042  0.0895  0.8875  1 O 2.30
Nd  0.4042  0.8147  0.5167  1 O 2.30
Nd  0.4105  0.0958  0.6125  1 O 2.30
Nd  0.4105  0.8147  0.7980  1 O 2.30
Nd  0.4833  0.3875  0.2980  1 O 2.30
Nd  0.4833  0.5958  0.1853  1 O 2.30
Nd  0.5167  0.4042  0.8147  1 O 2.30
Nd  0.5167  0.6125  0.7020  1 O 2.30
Nd  0.5895  0.1853  0.2020  1 O 2.30
Nd  0.5895  0.9042  0.3875  1 O 2.30
Nd  0.5958  0.1853  0.4833  1 O 2.30
Nd  0.5958  0.9105  0.1125  1 O 2.30
Nd  0.6125  0.4105  0.0958  1 O 2.30
Nd  0.6125  0.7020  0.5167  1 O 2.30
Nd  0.6853  0.0895  0.7020  1 O 2.30
Nd  0.6853  0.0958  0.9833  1 O 2.30
Nd  0.7020  0.5167  0.6125  1 O 2.30
Nd  0.7020  0.6853  0.0895  1 O 2.30
Nd  0.7980  0.4105  0.8147  1 O 2.30
Nd  0.7980  0.8875  0.9833  1 O 2.30
Nd  0.8147  0.5167  0.4042  1 O 2.30
Nd  0.8147  0.7980  0.4105  1 O 2.30
Nd  0.8875  0.4042  0.0895  1 O 2.30
Nd  0.8875  0.9833  0.7980  1 O 2.30
Nd  0.9042  0.0167  0.3147  1 O 2.30
Nd  0.9042  0.3875  0.5895  1 O 2.30
Nd  0.9105  0.1125  0.5958  1 O 2.30
Nd  0.9105  0.2980  0.3147  1 O 2.30
Nd  0.9833  0.6853  0.0958  1 O 2.30
Nd  0.9833  0.7980  0.8875  1 O 2.30
Ga  0.1250  0.2500  0.3750  8 Nd 3.15-3.21
Ga  0.1250  0.3750  0.7500  8 Nd 3.15-3.21
Ga  0.2500  0.3750  0.1250  8 Nd 3.15-3.21
Ga  0.2500  0.8750  0.6250  8 Nd 3.15-3.21
Ga  0.3750  0.1250  0.2500  8 Nd 3.15-3.21
Ga  0.3750  0.7500  0.1250  8 Nd 3.15-3.21
Ga  0.6250  0.2500  0.8750  8 Nd 3.15-3.21
Ga  0.6250  0.8750  0.7500  8 Nd 3.15-3.21
Ga  0.7500  0.1250  0.3750  8 Nd 3.15-3.21
Ga  0.7500  0.6250  0.8750  8 Nd 3.15-3.21
Ga  0.8750  0.6250  0.2500  8 Nd 3.15-3.21
Ga  0.8750  0.7500  0.6250  8 Nd 3.15-3.21
O  0.0000  0.0000  0.0000  6 Nd 2.58
O  0.0000  0.0000  0.5000  6 Nd 2.58
O  0.0000  0.5000  0.0000  6 Nd 2.58
O  0.0000  0.5000  0.5000  6 Nd 2.58
O  0.1250  0.7500  0.8750  4 Nd 2.30
O  0.1250  0.8750  0.2500  4 Nd 2.30
O  0.2500  0.1250  0.8750  4 Nd 2.30
O  0.2500  0.6250  0.3750  4 Nd 2.30
O  0.3750  0.2500  0.6250  4 Nd 2.30
O  0.3750  0.6250  0.7500  4 Nd 2.30
O  0.5000  0.0000  0.0000  6 Nd 2.58
O  0.5000  0.0000  0.5000  6 Nd 2.58
O  0.5000  0.5000  0.0000  6 Nd 2.58
O  0.5000  0.5000  0.5000  6 Nd 2.58
O  0.6250  0.3750  0.2500  4 Nd 2.30
O  0.6250  0.7500  0.3750  4 Nd 2.30
O  0.7500  0.3750  0.6250  4 Nd 2.30
O  0.7500  0.8750  0.1250  4 Nd 2.30
O  0.8750  0.1250  0.7500  4 Nd 2.30
O  0.8750  0.2500  0.1250  4 Nd 2.30



No. 5
First-principles (PBE) data for a relaxed LiCd2O2 crystal, as listed in the Alexandria database.

Values from the calculation:
final energy	-3.672	eV per atom
magnetization	0.00	μB/f.u.
DOS at the Fermi energy	0.193	states/eV/atom
formation energy (no corrections)	-0.9403	eV/atom

Lattice parameters (Å, degrees): 5.9057 5.9057 5.9057 120.65 85.42 124.75
With the nearest neighbours (Å) after each atom.
Positions (direct):
Li  0.2500  0.2500  0.0000  4 O 2.07
Li  0.7500  0.7500  0.0000  4 O 2.07
Cd  0.1568  0.6227  0.7795  3 O 2.26-2.37
Cd  0.3432  0.1227  0.4658  3 O 2.26-2.37
Cd  0.6568  0.8773  0.5342  3 O 2.26-2.37
Cd  0.8432  0.3773  0.2205  3 O 2.26-2.37
O  0.0925  0.2285  0.3210  2 Li 2.07, 1 Cd 2.26
O  0.4075  0.7285  0.1360  2 Li 2.07, 1 Cd 2.26
O  0.5925  0.2715  0.8640  2 Li 2.07, 1 Cd 2.26
O  0.9075  0.7715  0.6790  2 Li 2.07, 1 Cd 2.26



No. 6
First-principles (PBE) data for a relaxed YSiPt5 crystal, as listed in the Alexandria database.

Values from the calculation:
final energy	-6.933	eV per atom
magnetization	0.00	μB/f.u.
DOS at the Fermi energy	0.559	states/eV/atom
formation energy (no corrections)	-0.9200	eV/atom

Lattice parameters (Å, degrees): 4.0438 4.0438 7.2011 90.00 90.00 90.00
With the nearest neighbours (Å) after each atom.
Positions (direct):
Y  0.0000  0.0000  0.0000  12 Pt 2.86-2.95
Si  0.5000  0.5000  0.5000  8 Pt 2.49
Pt  0.0000  0.5000  0.2988  2 Si 2.49
Pt  0.0000  0.5000  0.7012  2 Si 2.49
Pt  0.5000  0.0000  0.2988  2 Si 2.49
Pt  0.5000  0.0000  0.7012  2 Si 2.49
Pt  0.5000  0.5000  0.0000  4 Y 2.86, 8 Pt 2.95



No. 7
First-principles (PBE) data for a relaxed Y2Er3Ru2 crystal, as listed in the Alexandria database.

Values from the calculation:
energy of formation from the pure elements	-2.4	eV per formula unit
final energy	-6.801	eV per atom
magnetization	0.00	μB/f.u.
DOS at the Fermi energy	0.808	states/eV/atom

Lattice parameters (Å, degrees): 6.2004 6.2004 8.4721 112.74 112.74 36.55
With the nearest neighbours (Å) after each atom.
Positions (direct):
Y  0.1633  0.1633  0.3082  2 Ru 2.80
Y  0.8367  0.8367  0.6918  2 Ru 2.80
Er  0.3776  0.3776  0.0712  3 Ru 2.84-2.94
Er  0.5000  0.5000  0.5000  4 Ru 2.91
Er  0.6224  0.6224  0.9288  3 Ru 2.84-2.94
Ru  0.1756  0.1756  0.7233  2 Y 2.80, 5 Er 2.84-2.94
Ru  0.8244  0.8244  0.2767  2 Y 2.80, 5 Er 2.84-2.94



No. 8
First-principles (PBE) data for a relaxed Ti2AlCuAg crystal, as listed in the Alexandria database.

Values from the calculation:
energy of formation from the pure elements	3.0	eV per formula unit
final energy	-4.688	eV per atom
magnetization	0.00	μB/f.u.
DOS at the Fermi energy	1.053	states/eV/atom

Lattice parameters (Å, degrees): 4.5667 4.5667 4.6904 90.00 90.00 90.00
With the nearest neighbours (Å) after each atom.
Positions (direct):
Ti  0.0000  0.5000  0.0000  2 Cu 2.28
Ti  0.5000  0.0000  0.0000  2 Cu 2.28
Al  0.0000  0.0000  0.5000  4 Ag 3.23, 8 Ti 3.27
Cu  0.5000  0.5000  0.0000  4 Ti 2.28, 2 Ag 2.35
Ag  0.5000  0.5000  0.5000  2 Cu 2.35



No. 9
First-principles (PBE) data for a relaxed Rb2MnIrBr6 crystal, as listed in the Alexandria database.

Values from the calculation:
final energy	-3.820	eV per atom
magnetization	4.60	μB/f.u.
DOS at the Fermi energy	0.448	states/eV/atom
formation energy (no corrections)	-0.8192	eV/atom

Lattice parameters (Å, degrees): 7.4785 7.4785 7.4785 60.00 60.00 60.00
With the nearest neighbours (Å) after each atom.
Positions (direct):
Rb  0.2500  0.2500  0.2500  12 Br 3.74
Rb  0.7500  0.7500  0.7500  12 Br 3.74
Mn  0.0000  0.0000  0.0000  6 Br 2.69
Ir  0.5000  0.5000  0.5000  6 Br 2.60
Br  0.2546  0.2546  0.7454  1 Ir 2.60, 1 Mn 2.69
Br  0.2546  0.7454  0.2546  1 Ir 2.60, 1 Mn 2.69
Br  0.2546  0.7454  0.7454  1 Ir 2.60, 1 Mn 2.69
Br  0.7454  0.2546  0.2546  1 Ir 2.60, 1 Mn 2.69
Br  0.7454  0.2546  0.7454  1 Ir 2.60, 1 Mn 2.69
Br  0.7454  0.7454  0.2546  1 Ir 2.60, 1 Mn 2.69



- Look up the final energy of the first one.
  -2.817 eV per atom



- Which value of DOS at the Fermi energy does entry 8 give?
  1.053 states/eV/atom



- Among the records above, which one has the highest magnetization?
  Rb2MnIrBr6



- The lowest DOS at the Fermi energy belongs to which entry?
  LiCd2O2